[1]
## La2CdBi2 (PBE)

Data for a relaxed La2CdBi2 crystal.

Cell: 8.648 8.648 4.395 Å, 90.00 90.00 90.00°
Space group P4/mbm (No. 127)
One atom of each set of equivalent atoms:
La  0.156  0.344  0.000 x4
Cd  0.000  0.000  0.500 x2
Bi  0.151  0.651  0.500 x4

Properties
**DFT formation energy**: -0.696 eV per atom
**Mass density**: 8.17 g/cm³
**Total DFT energy (no corrections)**: -44.022 eV per cell

=====

[2]
## Tb12CeY5 (PBE)

Data for a relaxed Tb12CeY5 crystal.

Cell: 15.119 15.123 5.043 Å, 90.00 90.00 90.00°
Space group Cmmm (No. 65)
One atom of each set of equivalent atoms:
Tb  0.166  0.000  0.000 x4
Tb  0.167  0.166  0.500 x8
Tb  0.167  0.334  0.000 x8
Tb  0.168  0.500  0.500 x4
Ce  0.000  0.000  0.500 x2
Y  0.000  0.165  0.000 x4
Y  0.000  0.333  0.500 x4
Y  0.000  0.500  0.000 x2

Properties
**DFT formation energy**: 0.031 eV per atom
**Mass density**: 7.18 g/cm³
**Total DFT energy (no corrections)**: -186.519 eV per cell

=====

[3]
## YSi2SbTe (PBE)

Data for a relaxed YSi2SbTe crystal.

Cell: 5.231 5.231 5.694 Å, 90.00 90.00 90.00°
Space group P4/mmm (No. 123)
One atom of each set of equivalent atoms:
Y  0.000  0.000  0.000 x1
Si  0.000  0.500  0.500 x2
Sb  0.500  0.500  0.000 x1
Te  0.000  0.000  0.500 x1

Properties
**Mass density**: 4.20 g/cm³
**Formation energy (no corrections)**: 0.67 eV/atom
**Total DFT energy (no corrections)**: -21.225 eV per cell

=====

[4]
## ZrMnBi3 (PBE)

Data for a relaxed ZrMnBi3 crystal.

Cell: 5.628 5.628 5.628 Å, 90.00 90.00 90.00°
Space group Pm-3m (No. 221)
One atom of each set of equivalent atoms:
Zr  0.000  0.000  0.000 x1
Mn  0.500  0.500  0.500 x1
Bi  0.000  0.000  0.500 x3

Properties
**DFT formation energy**: 1.257 eV per atom
**Mass density**: 7.20 g/cm³
**Total DFT energy (no corrections)**: -23.078 eV per cell

=====

[5]
## CaCd3Hg2 (PBE)

Data for a relaxed CaCd3Hg2 crystal.

Cell: 15.090 4.798 9.413 Å, 90.00 118.88 90.00°
Space group C2/m (No. 12)
One atom of each set of equivalent atoms:
Ca  0.135  0.000  0.134 x4
Cd  0.001  0.000  0.340 x4
Cd  0.115  0.500  0.587 x4
Cd  0.238  0.000  0.576 x4
Hg  0.014  0.500  0.849 x4
Hg  0.230  0.000  0.886 x4

Properties
**DFT formation energy**: -0.210 eV per atom
**Mass density**: 8.67 g/cm³
**Total DFT energy (no corrections)**: -26.434 eV per cell

=====

[6]
## Ce2Pu3NpP6 (PBE)

Data for a relaxed Ce2Pu3NpP6 crystal.

Cell: 17.519 4.020 8.042 Å, 90.00 103.12 90.00°
Space group C2/m (No. 12)
One atom of each set of equivalent atoms:
Ce  0.166  0.000  0.332 x4
Pu  0.000  0.500  0.500 x2
Pu  0.168  0.000  0.833 x4
Np  0.000  0.500  0.000 x2
P  0.002  0.000  0.753 x4
P  0.165  0.500  0.587 x4
P  0.166  0.500  0.077 x4

Properties
**DFT formation energy**: -1.201 eV per atom
**Mass density**: 8.64 g/cm³
**Total DFT energy (no corrections)**: -229.349 eV per cell

=====

[7]
## TaSb2Mo (PBE)

Data for a relaxed TaSb2Mo crystal.

Cell: 6.218 8.741 3.142 Å, 90.00 110.59 90.00°
Space group C2/m (No. 12)
One atom of each set of equivalent atoms:
Ta  0.000  0.000  0.000 x2
Sb  0.250  0.250  0.500 x4
Mo  0.000  0.500  0.000 x2

Properties
**Mass density**: 10.81 g/cm³
**Formation energy (no corrections)**: 0.52 eV/atom
**Total DFT energy (no corrections)**: -57.693 eV per cell

=====

[8]
## LiPd2Cl8 (PBE)

Data for a relaxed LiPd2Cl8 crystal.

Cell: 10.356 9.887 6.889 Å, 90.00 113.06 90.00°
Space group C2/m (No. 12)
One atom of each set of equivalent atoms:
Li  0.000  0.000  0.000 x2
Pd  0.160  0.000  0.620 x4
Cl  0.089  0.500  0.166 x4
Cl  0.102  0.158  0.813 x8
Cl  0.231  0.000  0.344 x4

Properties
**Mass density**: 2.58 g/cm³
**Formation energy (no corrections)**: -0.36 eV/atom
**Total DFT energy (no corrections)**: -62.157 eV per cell

=====

[9]
## BaIrRu (PBE)

Data for a relaxed BaIrRu crystal.

Cell: 3.0377 3.0377 7.7734 Å, 90.00 90.00 120.00°
Space group P3m1 (No. 156)
One atom of each set of equivalent atoms:
Ba  0.0000  0.0000  0.0000 x1
Ir  0.6667  0.3333  0.3751 x1
Ru  0.3333  0.6667  0.6240 x1

Properties
**DFT formation energy**: 1.112 eV per atom
**Mass density**: 11.51 g/cm³
**Total DFT energy (no corrections)**: -16.724 eV per cell

=====

[10]
## Pm3AsN (PBE)

Data for a relaxed Pm3AsN crystal.

Cell: 11.705 13.116 6.289 Å, 90.00 96.92 90.00°
Space group C2/c (No. 15)
One atom of each set of equivalent atoms:
Pm  0.097  0.134  0.072 x8
Pm  0.120  0.300  0.597 x8
Pm  0.121  0.430  0.111 x8
As  0.176  0.083  0.532 x8
N  0.000  0.290  0.250 x4
N  0.000  0.434  0.750 x4

Properties
**Mass density**: 7.26 g/cm³
**Formation energy (no corrections)**: -1.06 eV/atom
**Total DFT energy (no corrections)**: -260.386 eV per cell

=====

[11]
## KLa2Ag (PBE)

Data for a relaxed KLa2Ag crystal.

Cell: 3.874 3.874 10.030 Å, 90.00 90.00 90.00°
Space group P4mm (No. 99)
One atom of each set of equivalent atoms:
K  0.000  0.000  0.000 x1
La  0.000  0.000  0.597 x1
La  0.500  0.500  0.353 x1
Ag  0.500  0.500  0.758 x1

Properties
**DFT formation energy**: 0.050 eV per atom
**Mass density**: 4.68 g/cm³
**Total DFT energy (no corrections)**: -13.606 eV per cell

=====

[12]
## NiAgW2 (PBE)

Data for a relaxed NiAgW2 crystal.

Cell: 3.985 3.985 7.661 Å, 90.00 90.00 90.00°
Space group I-4m2 (No. 119)
One atom of each set of equivalent atoms:
Ni  0.000  0.000  0.000 x2
Ag  0.000  0.500  0.250 x2
W  0.000  0.000  0.500 x2
W  0.000  0.500  0.750 x2

Properties
**DFT formation energy**: 0.560 eV per atom
**Mass density**: 14.58 g/cm³
**Total DFT energy (no corrections)**: -64.599 eV per cell

=====

Calculated values (μB per atom) of total magnetization for the records, taken in order: 0.00; 0.06; 0.00; 0.16; 0.00; 1.04; 0.00; 0.00; 0.01; 0.09; 0.00; 0.00.